# 1
{"formula": "Pm5Ho2Tm5", "functional": "GGA-PBE", "state": "relaxed", "e_tot_ev_per_atom": -4.58, "delta_e_f_ev_per_atom": 0.02, "spacegroup": "No. 12", "cell": [[-3.368, 1.495, 3.415], [-5.570, -5.637, 0.670], [2.423, -5.836, 8.639]], "species": ["Pm", "Pm", "Pm", "Pm", "Pm", "Ho", "Ho", "Tm", "Tm", "Tm", "Tm", "Tm"], "fractional_positions": [[0.500, 0.500, 0.500], [0.334, 0.332, 0.999], [0.416, 0.918, 0.251], [0.584, 0.082, 0.749], [0.666, 0.668, 0.001], [0.917, 0.418, 0.748], [0.083, 0.582, 0.252], [0.832, 0.835, 0.501], [0.251, 0.750, 0.748], [0.749, 0.250, 0.252], [0.168, 0.165, 0.499], [0.000, 0.000, 0.000]]}


# 2
{"formula": "KAgBr2Cl6", "functional": "GGA-PBE", "state": "relaxed", "e_tot_ev_per_atom": -2.33, "e_form_raw_mev_per_atom": -489, "spacegroup": "No. 2", "cell": [[6.646, -0.730, -0.724], [-3.944, 8.030, 0.877], [-3.684, -1.717, 7.085]], "species": ["K", "Ag", "Br", "Br", "Cl", "Cl", "Cl", "Cl", "Cl", "Cl"], "fractional_positions": [[0.996, 0.498, 0.480], [0.996, 0.998, 0.980], [0.529, 0.632, 0.205], [0.465, 0.364, 0.755], [0.512, 0.874, 0.801], [0.481, 0.122, 0.159], [0.002, 0.893, 0.260], [0.138, 0.392, 0.194], [0.855, 0.604, 0.767], [0.991, 0.103, 0.700]]}